Mg2HgAs PBE optimized geometry; DFT total energy = -2.30 eV per atom; SG = Imm2; E above lowest polymorph = 0.1000 eV per atom
1.0
-1.7003 2.0585 6.4358
1.7003 -2.0585 6.4358
1.7003 2.0585 -6.4358
Mg Hg As
2 1 1
Direct
0.0000 0.0000 0.0000 Mg
0.7282 0.2282 0.5000 Mg
0.4031 0.4031 0.0000 Hg
0.1701 0.6701 0.5000 As


YSi3OsRh PBE optimized geometry; DFT total energy = -7.32 eV per atom; SG = Cmcm; E_form (uncorrected) = -0.430 eV/atom
1.0
3.6811 -6.0983 0.0000
3.6811 6.0983 0.0000
0.0000 0.0000 5.3426
Y Si Os Rh
2 6 2 2
Direct
0.1914 0.8086 0.7500 Y
0.8086 0.1914 0.2500 Y
0.2522 0.7478 0.2500 Si
0.2530 0.2530 0.0000 Si
0.2530 0.2530 0.5000 Si
0.7470 0.7470 0.0000 Si
0.7470 0.7470 0.5000 Si
0.7478 0.2522 0.7500 Si
0.0686 0.9314 0.2500 Os
0.9314 0.0686 0.7500 Os
0.4305 0.5695 0.2500 Rh
0.5695 0.4305 0.7500 Rh


PrGa2Pt8 PBE optimized geometry; DFT total energy = -5.64 eV per atom; SG = P4/mmm
1.0
5.3557 0.0000 0.0000
0.0000 5.3557 0.0000
0.0000 0.0000 8.2410
Pr Ga Pt
1 2 8
Direct
0.0000 0.0000 0.0000 Pr
0.0000 0.5000 0.5000 Ga
0.5000 0.0000 0.5000 Ga
0.2534 0.2534 0.2840 Pt
0.2534 0.2534 0.7160 Pt
0.2534 0.7466 0.2840 Pt
0.2534 0.7466 0.7160 Pt
0.7466 0.2534 0.2840 Pt
0.7466 0.2534 0.7160 Pt
0.7466 0.7466 0.2840 Pt
0.7466 0.7466 0.7160 Pt


NpPa2WN6 PBE optimized geometry; DFT total energy = -10.57 eV per atom; SG = R3; E_form (uncorrected) = -1.088 eV/atom
1.0
2.8868 1.6667 4.7909
-2.8868 1.6667 4.7909
0.0000 -3.3334 4.7909
Np Pa W N
1 2 1 6
Direct
0.0000 0.0000 0.0000 Np
0.2804 0.2804 0.2804 Pa
0.7774 0.7774 0.7774 Pa
0.4940 0.4940 0.4940 W
0.1266 0.6964 0.3770 N
0.2241 0.6207 0.8467 N
0.3770 0.1266 0.6964 N
0.6207 0.8467 0.2241 N
0.6964 0.3770 0.1266 N
0.8467 0.2241 0.6207 N


Mg2TlRu PBE optimized geometry; DFT total energy = -3.59 eV per atom; SG = P4mm; E above lowest polymorph = 0.0690 eV per atom
1.0
3.5037 0.0000 0.0000
0.0000 3.5037 0.0000
0.0000 0.0000 6.1537
Mg Tl Ru
2 1 1
Direct
0.0000 0.0000 0.0000 Mg
0.5000 0.5000 0.2708 Mg
0.5000 0.5000 0.7243 Tl
0.0000 0.0000 0.4676 Ru


NpNiH6Ir PBE optimized geometry; DFT total energy = -5.43 eV per atom; SG = P-6m2
1.0
4.5650 0.0000 0.0000
-2.2825 3.9534 0.0000
0.0000 0.0000 4.1567
Np Ni H Ir
1 1 6 1
Direct
0.0000 0.0000 0.0000 Np
0.3333 0.6667 0.5000 Ni
0.0060 0.5030 0.2304 H
0.0060 0.5030 0.7696 H
0.4970 0.5030 0.2304 H
0.4970 0.5030 0.7696 H
0.4970 0.9940 0.2304 H
0.4970 0.9940 0.7696 H
0.6667 0.3333 0.5000 Ir


So what do the calculations give for theoretical density? Going down the list: 5.97, 6.46, 12.93, 11.61, 7.78, 10.93 g/cm3.